Below is an optimized crystal structure of CoTeOs2, with properties calculated at the GGA-PBE level.

Cell lengths 4.4523, 4.4523, 4.4523 Å; angles 60.00, 60.00, 60.00 degrees
Last column: nearest neighbours and their distance in Å.
Positions (direct):
Co: 0.0000 0.0000 0.0000  4 Te 2.73, 4 Os 2.73
Te: 0.7500 0.7500 0.7500  4 Co 2.73, 4 Os 2.73
Os: 0.2500 0.2500 0.2500  4 Co 2.73, 4 Os 2.73
Os: 0.5000 0.5000 0.5000  4 Te 2.73, 4 Os 2.73

## Properties
Its theoretical density is 15.09 g/cm3. The value obtained for the calculated volume is 15.60 Å³/atom. As for the total magnetization: 1.89 μB/cell.

---

Below is an optimized crystal structure of AgTe2Cl, with properties calculated at the GGA-PBE level.

Cell lengths 4.7664, 4.2461, 6.1181 Å; angles 90.00, 112.57, 90.00 degrees
Last column: nearest neighbours and their distance in Å.
Positions (direct):
Ag: 0.0000 0.0000 0.0000  4 Te 2.76, 2 Cl 3.07
Te: 0.2170 0.5000 0.8217  1 Te 2.74, 2 Ag 2.76
Te: 0.7830 0.5000 0.1783  1 Te 2.74, 2 Ag 2.76
Cl: 0.5000 0.0000 0.5000  2 Ag 3.07

## Properties
Its theoretical density is 5.79 g/cm3. The value obtained for the calculated volume is 28.59 Å³/atom. As for the total magnetization: 0.00 μB/cell.

---

| no. | formation energy (no corrections) (eV per atom) |
| --- | --- |
| 1 | 0.87 |
| 2 | -0.16 |